A plane-wave DFT calculation with GGA-PBE was carried out for a geometry-optimized AgRh2O4 structure.

Total energy, eV per atom: -5.905
E_form (uncorrected), eV per atom: -0.564
Space group: I4_1/amd, No. 141

Lattice parameters (Å, degrees): 6.3200 6.3200 6.3200 119.92 119.92 90.14
Sites, in units of the cell vectors:
Ag (0.3750, 0.6250, 0.7500)
Ag (0.6250, 0.3750, 0.2500)
Rh (0.0000, 0.0000, 0.0000)
Rh (0.0000, 0.0000, 0.5000)
Rh (0.0000, 0.5000, 0.0000)
Rh (0.5000, 0.0000, 0.5000)
O (0.1850, 0.2287, 0.9564)
O (0.2277, 0.7713, 0.4564)
O (0.2287, 0.1850, 0.4564)
O (0.2287, 0.7723, 0.0436)
O (0.7713, 0.2277, 0.9564)
O (0.7713, 0.8150, 0.5436)
O (0.7723, 0.2287, 0.5436)
O (0.8150, 0.7713, 0.0436)

***

A plane-wave DFT calculation with GGA-PBE was carried out for a geometry-optimized Ag3RhO structure.

Total energy, eV per atom: -3.728
Relative energy among the computed polymorphs, meV per atom: 0
E_form (uncorrected), eV per atom: 0.444
Space group: Pm-3m, No. 221

Lattice parameters (Å, degrees): 4.3746 4.3746 4.3746 90.00 90.00 90.00
Sites, in units of the cell vectors:
Ag (0.0000, 0.0000, 0.5000)
Ag (0.0000, 0.5000, 0.0000)
Ag (0.5000, 0.0000, 0.0000)
Rh (0.5000, 0.5000, 0.5000)
O (0.0000, 0.0000, 0.0000)

***

| no. | DOS at the Fermi energy (states/eV/atom) |
| --- | --- |
| 1 | 1.26 |
| 2 | 0.90 |